(1)
The following is a DFT calculation (PBE) of a geometry-optimized NaTe3Pd structure.

Cell: 5.3928 5.3928 5.3928 Å, 90.00 90.00 90.00°
Closest atoms and distances in Å follow each position.
Fractional coordinates of all 5 atoms:
1 Na 0.0000 0.0000 0.0000  6 Te 2.70
2 Te 0.0000 0.0000 0.5000  2 Na 2.70
3 Te 0.0000 0.5000 0.0000  2 Na 2.70
4 Te 0.5000 0.0000 0.0000  2 Na 2.70
5 Pd 0.5000 0.5000 0.5000  12 Te 3.81

Formation energy without anion corrections = 824 meV/atom
Crystal system = cubic
Polymorph energy (0 for the lowest one) = 1153 meV per atom
Calculated volume = 156.8 Å³ per cell
Total magnetic moment = 0.00 μB/f.u.

***

(2)
The following is a DFT calculation (PBE) of a geometry-optimized Ba2ZrFe structure.

Cell: 3.5970 3.5970 10.0614 Å, 90.00 90.00 90.00°
Closest atoms and distances in Å follow each position.
Fractional coordinates of all 4 atoms:
1 Ba 0.0000 0.0000 0.2166  4 Fe 3.35, 4 Ba 3.60
2 Ba 0.0000 0.0000 0.7834  4 Fe 3.35, 4 Ba 3.60
3 Zr 0.5000 0.5000 0.5000  4 Zr 3.60, 8 Ba 3.82
4 Fe 0.5000 0.5000 0.0000  8 Ba 3.35, 4 Fe 3.60

Crystal system = tetragonal
Polymorph energy (0 for the lowest one) = 480 meV per atom
Calculated volume = 130.2 Å³ per cell
Total magnetic moment = 4.48 μB/f.u.

***

no.,DFT total energy (eV for the cell shown)
1,-11.82
2,-17.40